Entry 1:
# Sc3TaC4

Sc3TaC4 after structural relaxation (PBE, Alexandria via LeMat-Bulk).

The density of states at the Fermi level comes out at 8.65 states/eV per cell.

Cell and atoms, written as CIF:
```
data_Sc3TaC4
_cell_length_a 5.666
_cell_length_b 6.505
_cell_length_c 5.644
_cell_angle_alpha 90.00
_cell_angle_beta 109.56
_cell_angle_gamma 90.00
_space_group_name_H-M_alt 'P 1 2/c 1'
_space_group_IT_number 13
loop_
_space_group_symop_operation_xyz
'x,y,z'
'-x,-y,-z'
'-x,y,-z+1/2'
'x,-y,z+1/2'
loop_
_atom_site_label
_atom_site_type_symbol
_atom_site_fract_x
_atom_site_fract_y
_atom_site_fract_z
Sc1 Sc 0.000 0.124 0.250
Sc2 Sc 0.000 0.375 0.750
Sc3 Sc 0.500 0.375 0.250
Ta1 Ta 0.500 0.127 0.750
C1 C 0.256 0.364 0.511
C2 C 0.265 0.118 0.998
```

Entry 2:
# ScTaC2

ScTaC2 after structural relaxation (PBE, Alexandria via LeMat-Bulk).

The density of states at the Fermi level comes out at 15.41 states/eV per cell.

Cell and atoms, written as CIF:
```
data_ScTaC2
_cell_length_a 5.659
_cell_length_b 5.659
_cell_length_c 5.659
_cell_angle_alpha 90.00
_cell_angle_beta 90.00
_cell_angle_gamma 90.00
_space_group_name_H-M_alt 'F m -3 m'
_space_group_IT_number 225
_space_group_name_Hall '-F 4 2 3'
loop_
_atom_site_label
_atom_site_type_symbol
_atom_site_fract_x
_atom_site_fract_y
_atom_site_fract_z
Sc1 Sc 0.000 0.000 0.000
Ta1 Ta 0.000 0.000 0.500
C1 C 0.250 0.250 0.250
```

Entry 3:
# ScTa3C

ScTa3C after structural relaxation (PBE, Alexandria via LeMat-Bulk).

The density of states at the Fermi level comes out at 5.33 states/eV per cell.

Cell and atoms, written as CIF:
```
data_ScTa3C
_cell_length_a 4.381
_cell_length_b 4.381
_cell_length_c 4.381
_cell_angle_alpha 90.00
_cell_angle_beta 90.00
_cell_angle_gamma 90.00
_space_group_name_H-M_alt 'P m -3 m'
_space_group_IT_number 221
_space_group_name_Hall '-P 4 2 3'
loop_
_atom_site_label
_atom_site_type_symbol
_atom_site_fract_x
_atom_site_fract_y
_atom_site_fract_z
Sc1 Sc 0.000 0.000 0.000
Ta1 Ta 0.000 0.500 0.500
C1 C 0.500 0.500 0.500
```

Number 1: formation energy -0.451 eV per atom, total DFT energy (no corrections) -8.919 eV per atom, ρ 6.16 g/cm3. Number 2: formation energy 0.573 eV per atom, total DFT energy (no corrections) -8.585 eV per atom, ρ 9.16 g/cm3. Number 3: formation energy -0.122 eV per atom, total DFT energy (no corrections) -10.344 eV per atom, ρ 11.85 g/cm3.